Ag3PtF6 | PBE | optimized geometry

Geometry as POSCAR:
```
Ag3PtF6
1.0
5.975 0.000 0.000
0.000 6.139 0.000
-5.892 0.000 8.632
Ag Pt F
6 2 12
Cartesian
0.000 0.000 0.000
-2.946 3.069 4.316
-2.865 0.373 6.464
0.081 2.696 2.148
0.002 3.442 6.484
2.948 5.766 2.168
0.041 0.000 4.316
2.988 3.069 0.000
-0.741 0.421 2.164
-3.687 2.648 6.480
1.352 4.099 0.574
-1.594 5.108 4.890
2.066 1.399 0.655
-0.881 1.670 4.971
0.964 4.469 3.661
-1.983 4.739 7.977
1.677 1.030 3.742
-1.269 2.039 8.058
3.770 3.490 2.152
0.824 5.717 6.468
```

Values from the calculation:
As for the raw total energy: -73.07 eV for the cell shown. The space group is P2_1/c, No. 14. Its density of states at the Fermi level is 0.0262 states/eV/atom. The calculation puts the total magnetization at 2.00 μB/cell.

AgPt2F | PBE | optimized geometry

Geometry as POSCAR:
```
AgPt2F
1.0
7.088 0.000 0.000
0.000 7.088 0.000
0.000 0.000 5.099
Ag Pt F
4 8 4
Cartesian
0.000 0.000 0.000
0.000 3.544 1.275
3.544 0.000 3.825
3.544 3.544 2.550
1.450 1.772 3.187
1.772 4.994 4.462
1.772 5.638 1.912
2.094 1.772 0.637
4.994 5.316 0.637
5.316 1.450 1.912
5.316 2.094 4.462
5.638 5.316 3.187
0.000 0.000 2.550
0.000 3.544 3.825
3.544 0.000 1.275
3.544 3.544 0.000
```

Values from the calculation:
As for the raw total energy: -62.78 eV for the cell shown. The space group is I-42d, No. 122. Its density of states at the Fermi level is 1.2018 states/eV/atom. The calculation puts the total magnetization at 0.00 μB/cell.

Ag2PtF5 | PBE | optimized geometry

Geometry as POSCAR:
```
Ag2PtF5
1.0
4.781 -4.769 0.000
4.781 4.769 0.000
-4.737 0.000 6.065
Ag Pt F
4 2 10
Cartesian
0.000 0.000 0.000
-2.369 0.000 3.033
2.390 2.385 0.000
0.022 -2.385 3.033
1.228 1.197 4.549
3.596 -1.197 1.516
-0.158 2.584 4.608
3.596 3.564 1.516
2.210 0.189 1.456
2.613 2.584 4.489
-0.159 -0.189 4.488
4.983 0.189 1.577
2.211 -2.584 1.576
2.614 -0.189 4.609
1.228 -3.564 4.549
4.982 -2.584 1.457
```

Values from the calculation:
As for the raw total energy: -59.25 eV for the cell shown. The space group is C2/c, No. 15. Its density of states at the Fermi level is 1.2432 states/eV/atom. The calculation puts the total magnetization at 2.15 μB/cell.

AgPtF3 | PBE | optimized geometry

Geometry as POSCAR:
```
AgPtF3
1.0
4.306 0.000 0.000
0.000 4.306 0.000
0.000 0.000 4.306
Ag Pt F
1 1 3
Cartesian
0.000 0.000 0.000
2.153 2.153 2.153
0.000 2.153 2.153
2.153 0.000 2.153
2.153 2.153 0.000
```

Values from the calculation:
As for the raw total energy: -18.16 eV for the cell shown. The space group is Pm-3m, No. 221. Its density of states at the Fermi level is 0.3179 states/eV/atom. The calculation puts the total magnetization at 0.00 μB/cell.

AgPtF6 | PBE | optimized geometry

Geometry as POSCAR:
```
AgPtF6
1.0
8.091 0.000 0.000
0.000 6.171 0.000
-2.203 0.000 4.791
Ag Pt F
2 2 12
Cartesian
0.000 0.000 0.000
4.046 3.086 0.000
-1.101 3.086 2.396
2.944 0.000 2.396
-1.090 1.726 3.803
-1.090 4.445 3.803
0.836 3.086 2.557
1.006 0.000 2.235
2.933 1.360 0.988
2.933 4.812 0.988
2.955 1.360 3.803
2.955 4.812 3.803
4.882 0.000 2.557
5.052 3.086 2.235
6.978 1.726 0.988
6.978 4.445 0.988
```

Values from the calculation:
As for the raw total energy: -60.44 eV for the cell shown. The space group is C2/m, No. 12. Its density of states at the Fermi level is 1.0064 states/eV/atom. The calculation puts the total magnetization at 2.00 μB/cell.

AgPtF4 | PBE | optimized geometry

Geometry as POSCAR:
```
AgPtF4
1.0
6.403 0.000 0.000
0.000 6.403 0.000
0.000 0.000 5.842
Ag Pt F
2 2 8
Cartesian
0.000 0.000 0.000
3.201 3.201 2.921
0.000 3.201 4.382
3.201 0.000 1.461
1.019 4.863 4.369
1.540 1.019 1.473
1.661 2.182 4.394
2.182 4.742 1.448
4.221 1.661 1.448
4.742 4.221 4.394
4.863 5.384 1.473
5.384 1.540 4.369
```

Values from the calculation:
As for the raw total energy: -45.60 eV for the cell shown. The space group is I-4, No. 82. Its density of states at the Fermi level is 1.5540 states/eV/atom. The calculation puts the total magnetization at 2.13 μB/cell.

Ag6PtF12 | PBE | optimized geometry

Geometry as POSCAR:
```
Ag6PtF12
1.0
5.128 2.961 3.308
-5.128 2.961 3.308
0.000 -5.921 3.308
Ag Pt F
6 1 12
Cartesian
-3.656 -1.095 5.134
-0.880 -3.714 4.791
-2.777 2.619 4.791
2.777 -2.619 5.134
0.880 3.714 5.134
3.656 1.095 4.791
0.000 0.000 4.962
-4.148 0.936 4.347
-2.885 -3.125 5.577
-1.200 -1.145 3.876
1.264 -4.061 4.347
-0.391 1.612 3.876
-1.591 0.467 6.048
1.591 -0.467 3.876
0.391 -1.612 6.048
-1.264 4.061 5.577
1.200 1.145 6.048
2.885 3.125 4.347
4.148 -0.936 5.577
```

Values from the calculation:
As for the raw total energy: -68.19 eV for the cell shown. The space group is R-3, No. 148. Its density of states at the Fermi level is 0.6297 states/eV/atom. The calculation puts the total magnetization at 1.95 μB/cell.

AgPt2F | PBE | optimized geometry

Geometry as POSCAR:
```
AgPt2F
1.0
6.266 0.000 0.000
0.000 6.266 0.000
0.000 0.000 6.266
Ag Pt F
4 8 4
Cartesian
0.000 0.000 0.000
0.000 3.133 3.133
3.133 0.000 3.133
3.133 3.133 0.000
1.567 1.567 1.567
1.567 1.567 4.700
1.567 4.700 1.567
1.567 4.700 4.700
4.700 1.567 1.567
4.700 1.567 4.700
4.700 4.700 1.567
4.700 4.700 4.700
0.000 0.000 3.133
0.000 3.133 0.000
3.133 0.000 0.000
3.133 3.133 3.133
```

Values from the calculation:
As for the raw total energy: -61.90 eV for the cell shown. The space group is Fm-3m, No. 225. Its density of states at the Fermi level is 2.0169 states/eV/atom. The calculation puts the total magnetization at 5.63 μB/cell.

AgPtF3 | PBE | optimized geometry

Geometry as POSCAR:
```
AgPtF3
1.0
4.314 0.000 0.000
0.000 4.314 0.000
0.000 0.000 4.314
Ag Pt F
1 1 3
Cartesian
0.000 0.000 0.000
2.157 2.157 2.157
0.000 0.000 2.157
0.000 2.157 0.000
2.157 0.000 0.000
```

Values from the calculation:
As for the raw total energy: -15.39 eV for the cell shown. The space group is Pm-3m, No. 221. Its density of states at the Fermi level is 3.3268 states/eV/atom. The calculation puts the total magnetization at 1.29 μB/cell.

AgPtF6 | PBE | optimized geometry

Geometry as POSCAR:
```
AgPtF6
1.0
5.256 0.000 0.000
2.622 4.555 0.000
2.608 1.521 9.943
Ag Pt F
2 2 12
Cartesian
0.000 0.000 0.000
5.243 3.038 4.972
2.581 1.543 2.487
7.906 4.533 7.456
4.240 4.480 8.596
3.397 3.122 6.319
4.366 4.751 3.627
3.432 2.891 1.347
4.535 1.374 8.596
6.319 4.590 6.314
4.168 1.486 3.629
5.952 4.702 1.347
7.055 3.185 8.596
6.120 1.325 6.317
7.090 2.954 3.625
6.247 1.596 1.347
```

Values from the calculation:
As for the raw total energy: -60.87 eV for the cell shown. The space group is P-1, No. 2. Its density of states at the Fermi level is 0.8336 states/eV/atom. The calculation puts the total magnetization at 2.08 μB/cell.

AgPtF5 | PBE | optimized geometry

Geometry as POSCAR:
```
AgPtF5
1.0
4.476 -3.485 0.000
4.476 3.485 0.000
-2.905 0.000 7.150
Ag Pt F
2 2 10
Cartesian
2.298 3.289 5.363
3.750 -3.289 1.788
4.476 0.000 0.000
3.024 0.000 3.575
3.977 1.911 0.155
1.322 0.490 2.684
3.523 1.911 3.420
-0.130 -0.490 6.260
2.298 0.651 5.363
3.750 -0.651 1.788
6.178 0.490 0.891
2.524 -1.911 3.731
4.726 -0.490 4.466
2.071 -1.911 6.995
```

Values from the calculation:
As for the raw total energy: -53.88 eV for the cell shown. The space group is C2/c, No. 15. Its density of states at the Fermi level is 0.6622 states/eV/atom. The calculation puts the total magnetization at 0.00 μB/cell.

AgPtF4 | PBE | optimized geometry

Geometry as POSCAR:
```
AgPtF4
1.0
7.000 0.000 0.000
0.000 10.864 0.000
-1.174 0.000 2.622
Ag Pt F
2 2 8
Cartesian
0.000 0.000 0.000
3.500 5.432 0.000
0.000 5.432 0.000
3.500 0.000 0.000
1.357 4.154 0.607
1.357 6.711 0.607
0.970 1.279 2.015
0.970 9.586 2.015
4.857 1.279 0.607
4.857 9.586 0.607
4.470 4.154 2.015
4.470 6.711 2.015
```

Values from the calculation:
As for the raw total energy: -46.14 eV for the cell shown. The space group is C2/m, No. 12. Its density of states at the Fermi level is 1.0808 states/eV/atom. The calculation puts the total magnetization at 0.00 μB/cell.

- The highest raw total energy belongs to which entry?
  number 9

Repeat the tenth record exactly.
AgPtF6 | PBE | optimized geometry

Geometry as POSCAR:
```
AgPtF6
1.0
5.256 0.000 0.000
2.622 4.555 0.000
2.608 1.521 9.943
Ag Pt F
2 2 12
Cartesian
0.000 0.000 0.000
5.243 3.038 4.972
2.581 1.543 2.487
7.906 4.533 7.456
4.240 4.480 8.596
3.397 3.122 6.319
4.366 4.751 3.627
3.432 2.891 1.347
4.535 1.374 8.596
6.319 4.590 6.314
4.168 1.486 3.629
5.952 4.702 1.347
7.055 3.185 8.596
6.120 1.325 6.317
7.090 2.954 3.625
6.247 1.596 1.347
```

Values from the calculation:
As for the raw total energy: -60.87 eV for the cell shown. The space group is P-1, No. 2. Its density of states at the Fermi level is 0.8336 states/eV/atom. The calculation puts the total magnetization at 2.08 μB/cell.